# 1
# PrPdPb

A relaxed PrPdPb crystal (PBE, the Alexandria database).

The volume comes out at 25.4 Å³/atom. The total energy is -15.7 eV/cell.

The structure belongs to space group P-6m2 (No. 187); the cell edges are 4.8522, 4.8522 and 3.7361 Å and the angles 90.00°, 90.00° and 120.00°. The asymmetric unit holds Pr at (0.0000, 0.0000, 0.0000), Pd at (0.3333, 0.6667, 0.5000) and Pb at (0.6667, 0.3333, 0.5000).

***

# 2
# PrPdPb

A relaxed PrPdPb crystal (PBE, the Alexandria database).

The volume comes out at 26.6 Å³/atom. The total energy is -61.8 eV/cell.

The structure belongs to space group C2/m (No. 12); the cell edges are 8.424, 4.865 and 8.290 Å and the angles 90.00°, 109.89° and 90.00°. The asymmetric unit holds Pr at (0.237, 0.000, 0.211), Pd at (0.133, 0.500, 0.399), Pb at (0.000, 0.000, 0.500) and Pb at (0.000, 0.500, 0.000).

***

# 3
# PrPdPb

A relaxed PrPdPb crystal (PBE, the Alexandria database).

The volume comes out at 25.3 Å³/atom. The total energy is -94.3 eV/cell.

The structure belongs to space group Pmma (No. 51); the cell edges are 14.212, 3.990 and 8.030 Å and the angles 90.00°, 90.00° and 90.00°. The asymmetric unit holds Pr at (0.050, 0.000, 0.228), Pr at (0.250, 0.000, 0.842), Pd at (0.092, 0.500, 0.932), Pd at (0.250, 0.000, 0.437), Pb at (0.120, 0.500, 0.566) and Pb at (0.250, 0.500, 0.179).

***

# 4
# Pr2Pd5Pb

A relaxed Pr2Pd5Pb crystal (PBE, the Alexandria database).

The volume comes out at 21.1 Å³/atom. The total energy is -88.4 eV/cell.

The structure belongs to space group I4mm (No. 107); the cell edges are 6.429, 6.429 and 8.184 Å and the angles 90.00°, 90.00° and 90.00°. The asymmetric unit holds Pr at (0.000, 0.500, 0.000), Pd at (0.000, 0.000, 0.003), Pd at (0.215, 0.215, 0.739) and Pb at (0.000, 0.000, 0.362).

***

# 5
# PrPd2Pb3

A relaxed PrPd2Pb3 crystal (PBE, the Alexandria database).

The volume comes out at 24.9 Å³/atom. The total energy is -57.6 eV/cell.

The structure belongs to space group Pmc2_1 (No. 26); the cell edges are 4.545, 8.647 and 7.600 Å and the angles 90.00°, 90.00° and 90.00°. The asymmetric unit holds Pr at (0.000, 0.066, 0.000), Pd at (0.000, 0.354, 0.240), Pd at (0.500, 0.136, 0.715), Pb at (0.000, 0.332, 0.631), Pb at (0.500, 0.180, 0.326) and Pb at (0.500, 0.413, 0.969).

***

# 6
# PrPdPb

A relaxed PrPdPb crystal (PBE, the Alexandria database).

The volume comes out at 24.8 Å³/atom. The total energy is -47.5 eV/cell.

The structure belongs to space group P-62m (No. 189); the cell edges are 7.8742, 7.8742 and 4.1610 Å and the angles 90.00°, 90.00° and 120.00°. The asymmetric unit holds Pr at (0.0000, 0.5910, 0.0000), Pd at (0.0000, 0.0000, 0.0000), Pd at (0.3333, 0.6667, 0.5000) and Pb at (0.0000, 0.2566, 0.5000).

***

# 7
# PrPdPb2

A relaxed PrPdPb2 crystal (PBE, the Alexandria database).

The volume comes out at 25.8 Å³/atom. The total energy is -19.0 eV/cell.

The structure belongs to space group P4/mmm (No. 123); the cell edges are 4.692, 4.692 and 4.679 Å and the angles 90.00°, 90.00° and 90.00°. The asymmetric unit holds Pr at (0.000, 0.000, 0.000), Pd at (0.500, 0.500, 0.000) and Pb at (0.000, 0.500, 0.500).

***

# 8
# PrPd6Pb6

A relaxed PrPd6Pb6 crystal (PBE, the Alexandria database).

The volume comes out at 21.8 Å³/atom. The total energy is -62.3 eV/cell.

The structure belongs to space group P6/mmm (No. 191); the cell edges are 5.9244, 5.9244 and 9.3388 Å and the angles 90.00°, 90.00° and 120.00°. The asymmetric unit holds Pr at (0.0000, 0.0000, 0.0000), Pd at (0.0000, 0.5000, 0.2459), Pb at (0.0000, 0.0000, 0.3372), Pb at (0.3333, 0.6667, 0.0000) and Pb at (0.3333, 0.6667, 0.5000).

***

# 9
# PrPd2Pb

A relaxed PrPd2Pb crystal (PBE, the Alexandria database).

The volume comes out at 22.3 Å³/atom. The total energy is -21.0 eV/cell.

The structure belongs to space group P4/mmm (No. 123); the cell edges are 4.879, 4.879 and 3.743 Å and the angles 90.00°, 90.00° and 90.00°. The asymmetric unit holds Pr at (0.000, 0.000, 0.000), Pd at (0.000, 0.500, 0.500) and Pb at (0.500, 0.500, 0.000).

***

# 10
# Pr2PdPb8

A relaxed Pr2PdPb8 crystal (PBE, the Alexandria database).

The volume comes out at 29.3 Å³/atom. The total energy is -47.7 eV/cell.

The structure belongs to space group P4/mmm (No. 123); the cell edges are 4.909, 4.909 and 13.385 Å and the angles 90.00°, 90.00° and 90.00°. The asymmetric unit holds Pr at (0.000, 0.000, 0.179), Pd at (0.000, 0.000, 0.500), Pb at (0.000, 0.500, 0.000), Pb at (0.000, 0.500, 0.376) and Pb at (0.500, 0.500, 0.194).

***

# 11
# PrPd8Pb2

A relaxed PrPd8Pb2 crystal (PBE, the Alexandria database).

The volume comes out at 19.0 Å³/atom. The total energy is -114.5 eV/cell.

The structure belongs to space group C2/m (No. 12); the cell edges are 7.623, 14.473 and 5.040 Å and the angles 90.00°, 131.20° and 90.00°. The asymmetric unit holds Pr at (0.000, 0.000, 0.000), Pd at (0.000, 0.197, 0.000), Pd at (0.013, 0.500, 0.764), Pd at (0.237, 0.136, 0.730) and Pb at (0.000, 0.317, 0.500).

***

# 12
# Pr4Pd2Pb

A relaxed Pr4Pd2Pb crystal (PBE, the Alexandria database).

The volume comes out at 29.1 Å³/atom. The total energy is -148.8 eV/cell.

The structure belongs to space group Cc (No. 9); the cell edges are 9.027, 15.857 and 7.246 Å and the angles 90.00°, 128.11° and 90.00°. The asymmetric unit holds Pr at (0.000, 0.027, 0.000), Pr at (0.036, 0.458, 0.878), Pr at (0.074, 0.253, 0.165), Pr at (0.254, 0.173, 0.826), Pd at (0.279, 0.088, 0.479), Pd at (0.366, 0.333, 0.149) and Pb at (0.251, 0.365, 0.663).

***

# 13
# Pr3Pd4Pb4

A relaxed Pr3Pd4Pb4 crystal (PBE, the Alexandria database).

The volume comes out at 24.9 Å³/atom. The total energy is -111.8 eV/cell.

The structure belongs to space group Immm (No. 71); the cell edges are 3.876, 4.903 and 28.816 Å and the angles 90.00°, 90.00° and 90.00°. The asymmetric unit holds Pr at (0.000, 0.000, 0.000), Pr at (0.000, 0.500, 0.148), Pd at (0.000, 0.000, 0.262), Pd at (0.000, 0.500, 0.405), Pb at (0.000, 0.000, 0.447) and Pb at (0.000, 0.500, 0.308).

***

# 14
# Pr6Pd5Pb

A relaxed Pr6Pd5Pb crystal (PBE, the Alexandria database).

The volume comes out at 27.9 Å³/atom. The total energy is -130.8 eV/cell.

The structure belongs to space group C2/m (No. 12); the cell edges are 7.798, 11.902 and 7.482 Å and the angles 90.00°, 105.22° and 90.00°. The asymmetric unit holds Pr at (0.201, 0.000, 0.223), Pr at (0.219, 0.180, 0.722), Pd at (0.000, 0.000, 0.500), Pd at (0.000, 0.194, 0.000), Pd at (0.000, 0.371, 0.500) and Pb at (0.000, 0.500, 0.000).

***

# 15
# Pr3PdPb2

A relaxed Pr3PdPb2 crystal (PBE, the Alexandria database).

The volume comes out at 30.4 Å³/atom. The total energy is -123.0 eV/cell.

The structure belongs to space group Pnma (No. 62); the cell edges are 12.797, 4.673 and 12.207 Å and the angles 90.00°, 90.00° and 90.00°. The asymmetric unit holds Pr at (0.053, 0.250, 0.131), Pr at (0.124, 0.750, 0.554), Pr at (0.232, 0.250, 0.801), Pd at (0.124, 0.250, 0.374), Pb at (0.002, 0.750, 0.310) and Pb at (0.185, 0.750, 0.003).

***

# 16
# Pr2Pd15Pb2

A relaxed Pr2Pd15Pb2 crystal (PBE, the Alexandria database).

The volume comes out at 18.5 Å³/atom. The total energy is -304.7 eV/cell.

The structure belongs to space group R-3m (No. 166, hexagonal axes); the cell edges are 9.3667, 9.3667 and 13.9077 Å and the angles 90.00°, 90.00° and 120.00°. The asymmetric unit holds Pr at (0.0000, 0.0000, 0.1440), Pd at (0.0000, 0.3151, 0.5000), Pd at (0.0000, 0.5000, 0.0000), Pd at (0.0079, 0.5039, 0.6569) and Pb at (0.0000, 0.0000, 0.3922).

***

# 17
# PrPd6Pb2

A relaxed PrPd6Pb2 crystal (PBE, the Alexandria database).

The volume comes out at 22.2 Å³/atom. The total energy is -46.4 eV/cell.

The structure belongs to space group P6/mmm (No. 191); the cell edges are 5.6229, 5.6229 and 7.3030 Å and the angles 90.00°, 90.00° and 120.00°. The asymmetric unit holds Pr at (0.0000, 0.0000, 0.0000), Pd at (0.0000, 0.5000, 0.1859) and Pb at (0.3333, 0.6667, 0.5000).

***

# 18
# Pr3Pd8Pb

A relaxed Pr3Pd8Pb crystal (PBE, the Alexandria database).

The volume comes out at 20.0 Å³/atom. The total energy is -202.9 eV/cell.

The structure belongs to space group R3m (No. 160, hexagonal axes); the cell edges are 5.5434, 5.5434 and 27.0858 Å and the angles 90.00°, 90.00° and 120.00°. The asymmetric unit holds Pr at (0.0000, 0.0000, 0.0000), Pr at (0.0000, 0.0000, 0.1298), Pr at (0.0000, 0.0000, 0.6128), Pd at (0.0000, 0.0000, 0.3111), Pd at (0.0000, 0.0000, 0.8111), Pd at (0.0028, 0.5014, 0.5622), Pd at (0.1684, 0.3369, 0.3927) and Pb at (0.0000, 0.0000, 0.4877).

***

# 19
# PrPd5Pb2

A relaxed PrPd5Pb2 crystal (PBE, the Alexandria database).

The volume comes out at 21.0 Å³/atom. The total energy is -83.6 eV/cell.

The structure belongs to space group Immm (No. 71); the cell edges are 4.367, 5.827 and 13.175 Å and the angles 90.00°, 90.00° and 90.00°. The asymmetric unit holds Pr at (0.000, 0.000, 0.000), Pd at (0.000, 0.238, 0.391), Pd at (0.000, 0.500, 0.000) and Pb at (0.000, 0.500, 0.215).

***

# 20
# PrPdPb

A relaxed PrPdPb crystal (PBE, the Alexandria database).

The volume comes out at 25.1 Å³/atom. The total energy is -30.2 eV/cell.

The structure belongs to space group I4mm (No. 107); the cell edges are 3.591, 3.591 and 11.681 Å and the angles 90.00°, 90.00° and 90.00°. The asymmetric unit holds Pr at (0.000, 0.000, 0.000), Pd at (0.000, 0.000, 0.342) and Pb at (0.000, 0.000, 0.707).

***

# 21
# PrPdPtPb

A relaxed PrPdPtPb crystal (PBE, the Alexandria database).

The volume comes out at 22.1 Å³/atom. The total energy is -89.2 eV/cell.

The structure belongs to space group F-43m (No. 216); the cell edges are 7.072, 7.072 and 7.072 Å and the angles 90.00°, 90.00° and 90.00°. The asymmetric unit holds Pr at (0.000, 0.000, 0.000), Pd at (0.250, 0.250, 0.750), Pt at (0.250, 0.250, 0.250) and Pb at (0.000, 0.000, 0.500).

***

# 22
# PrPdRhPb

A relaxed PrPdRhPb crystal (PBE, the Alexandria database).

The volume comes out at 21.2 Å³/atom. The total energy is -92.0 eV/cell.

The structure belongs to space group F-43m (No. 216); the cell edges are 6.971, 6.971 and 6.971 Å and the angles 90.00°, 90.00° and 90.00°. The asymmetric unit holds Pr at (0.000, 0.000, 0.000), Pd at (0.250, 0.250, 0.750), Rh at (0.250, 0.250, 0.250) and Pb at (0.000, 0.000, 0.500).